Compound: BeIrPb2
Source: the Alexandria database
Functional: PBE-GGA
Structure: relaxed

Properties
crystal system: monoclinic
formation energy: 0.68 eV per atom
V: 20.3 Å³ per atom
ρ: 12597 kg/m³
D(E_F): 0.5985 states/eV/atom

Cell lengths 6.6539, 6.7054, 3.6731 Å; angles 90.00, 97.95, 90.00 degrees
With the nearest neighbours (Å) after each atom.
Space group C2/m (No. 12)
Unique sites:
Be1 0.0000 0.0000 0.0000 (multiplicity 2)  8 Pb 2.85-3.13
Ir1 0.0000 0.5000 0.0000 (multiplicity 2)  8 Pb 2.85-3.13
Pb1 0.2500 0.2500 0.5000 (multiplicity 4)  4 Be 2.85-3.13, 4 Ir 2.85-3.13


Compound: HfW2N2
Source: the Alexandria database
Functional: PBE-GGA
Structure: relaxed

Properties
crystal system: tetragonal
ΔE_f (raw): -0.394 eV per atom
V: 14.2 Å³ per atom
ρ: 13407 kg/m³
D(E_F): 0.4205 states/eV/atom

Cell lengths 5.9992, 5.9992, 3.9521 Å; angles 90.00, 90.00, 90.00 degrees
With the nearest neighbours (Å) after each atom.
Space group P4/mbm (No. 127)
Unique sites:
Hf1 0.0000 0.0000 0.0000 (multiplicity 2)  4 N 2.22
W1 0.1684 0.3316 0.5000 (multiplicity 4)  2 N 1.98
N1 0.1730 0.3270 0.0000 (multiplicity 4)  2 W 1.98


Compound: Ce2Tm2Bi2C
Source: the Alexandria database
Functional: PBE-GGA
Structure: relaxed

Properties
crystal system: tetragonal
formation energy: -0.65 eV per atom
V: 27.3 Å³ per atom
ρ: 9118 kg/m³
D(E_F): 2.1939 states/eV/atom

Cell lengths 4.8189, 4.8189, 16.4384 Å; angles 90.00, 90.00, 90.00 degrees
With the nearest neighbours (Å) after each atom.
Space group I4/mmm (No. 139)
Unique sites:
Ce1 0.0000 0.0000 0.1576 (multiplicity 4)  1 C 2.59
Tm1 0.0000 0.5000 0.0000 (multiplicity 4)  2 C 2.41
Bi1 0.0000 0.0000 0.3629 (multiplicity 4)  4 Tm 3.30, 5 Ce 3.37-3.42
C1 0.0000 0.0000 0.0000 (multiplicity 2)  4 Tm 2.41, 2 Ce 2.59


Compound: BaSc2Zn
Source: the Alexandria database
Functional: PBE-GGA
Structure: relaxed

Properties
crystal system: monoclinic
formation energy: 0.01 eV per atom
V: 28.5 Å³ per atom
ρ: 4257 kg/m³
D(E_F): 0.8995 states/eV/atom

Cell lengths 3.6392, 3.6532, 8.5855 Å; angles 90.00, 90.08, 90.00 degrees
With the nearest neighbours (Å) after each atom.
Space group Pm (No. 6)
Unique sites:
Ba1 0.0000 0.0000 0.0000 (multiplicity 1)  4 Zn 3.56-3.57, 4 Ba 3.64-3.65, 5 Sc 3.69-3.97
Sc1 0.0004 0.0000 0.5705 (multiplicity 1)  4 Zn 2.85, 4 Sc 3.19
Sc2 0.4998 0.5000 0.3520 (multiplicity 1)  1 Zn 3.10, 4 Sc 3.19
Zn1 0.5009 0.5000 0.7129 (multiplicity 1)  5 Sc 2.85-3.10


> The highest D(E_F) belongs to which entry?

Ce2Tm2Bi2C


> What is the D(E_F) in the second record?

0.4205 states/eV/atom


> Among the records above, which one has the highest ρ?

HfW2N2